Entry from Alexandria via LeMat-Bulk: a relaxed InGa3 crystal (PBEsol).

Calculated values
DFT total energy: -12.9 eV per formula unit
energy relative to the elements: 36 meV/atom

Cell: 4.2736 4.2736 4.2736 Å, 90.00 90.00 90.00°
Element x y z (fractional)
In  0.0000  0.0000  0.0000
Ga  0.0000  0.5000  0.5000
Ga  0.5000  0.0000  0.5000
Ga  0.5000  0.5000  0.0000

Entry from Alexandria via LeMat-Bulk: a relaxed KIn2Ga2 crystal (PBEsol).

Calculated values
DFT total energy: -14.3 eV per formula unit
energy relative to the elements: -110 meV/atom

Cell: 6.8766 6.8766 6.8766 Å, 141.07 141.07 56.24°
Element x y z (fractional)
K  0.0000  0.0000  0.0000
In  0.3819  0.3819  0.0000
In  0.6181  0.6181  0.0000
Ga  0.2500  0.7500  0.5000
Ga  0.7500  0.2500  0.5000

Entry from Alexandria via LeMat-Bulk: a relaxed Li2InGa crystal (PBEsol).

Calculated values
DFT total energy: -11.4 eV per formula unit
energy relative to the elements: -281 meV/atom

Cell: 4.5593 4.5593 4.5593 Å, 60.00 60.00 60.00°
Element x y z (fractional)
Li  0.2500  0.2500  0.2500
Li  0.7500  0.7500  0.7500
In  0.0000  0.0000  0.0000
Ga  0.5000  0.5000  0.5000

Entry from Alexandria via LeMat-Bulk: a relaxed LiMgInGa2 crystal (PBEsol).

Calculated values
DFT total energy: -11.4 eV per formula unit
energy relative to the elements: 393 meV/atom

Cell: 5.0434 5.0434 5.3674 Å, 90.00 90.00 90.00°
Element x y z (fractional)
Li  0.0000  0.0000  0.0000
Mg  0.5000  0.5000  0.5000
In  0.5000  0.5000  0.0000
Ga  0.0000  0.5000  0.5000
Ga  0.5000  0.0000  0.5000

Entry from Alexandria via LeMat-Bulk: a relaxed Mg2InGa crystal (PBEsol).

Calculated values
DFT total energy: -10.2 eV per formula unit
energy relative to the elements: -105 meV/atom

Cell: 4.8982 4.8982 4.8982 Å, 60.00 60.00 60.00°
Element x y z (fractional)
Mg  0.2500  0.2500  0.2500
Mg  0.7500  0.7500  0.7500
In  0.0000  0.0000  0.0000
Ga  0.5000  0.5000  0.5000

Entry from Alexandria via LeMat-Bulk: a relaxed MgInGa3 crystal (PBEsol).

Calculated values
DFT total energy: -12.4 eV per formula unit
energy relative to the elements: 464 meV/atom

Cell: 5.0439 5.0439 5.0439 Å, 90.00 90.00 90.00°
Element x y z (fractional)
Mg  0.0000  0.0000  0.0000
In  0.5000  0.5000  0.5000
Ga  0.0000  0.0000  0.5000
Ga  0.0000  0.5000  0.0000
Ga  0.5000  0.0000  0.0000

Entry from Alexandria via LeMat-Bulk: a relaxed Mn2InGa crystal (PBEsol).

Calculated values
DFT total energy: -25.0 eV per formula unit
energy relative to the elements: 221 meV/atom

Cell: 4.3786 4.3786 4.3786 Å, 60.00 60.00 60.00°
Element x y z (fractional)
Mn  0.2500  0.2500  0.2500
Mn  0.7500  0.7500  0.7500
In  0.0000  0.0000  0.0000
Ga  0.5000  0.5000  0.5000

Entry from Alexandria via LeMat-Bulk: a relaxed InGa3N4 crystal (PBEsol).

Calculated values
DFT total energy: -50.5 eV per formula unit
formation energy without anion corrections: -425 meV/atom

Cell: 3.2631 3.2631 10.7122 Å, 90.00 90.00 120.00°
Element x y z (fractional)
In  0.0000  0.0000  0.0000
Ga  0.0000  0.0000  0.4994
Ga  0.3333  0.6667  0.2600
Ga  0.3333  0.6667  0.7386
N  0.0000  0.0000  0.2026
N  0.0000  0.0000  0.6812
N  0.3333  0.6667  0.4418
N  0.3333  0.6667  0.9179

Entry from Alexandria via LeMat-Bulk: a relaxed InGa2N2 crystal (PBEsol).

Calculated values
DFT total energy: -25.0 eV per formula unit
formation energy without anion corrections: 336 meV/atom

Cell: 6.4033 6.4033 6.4033 Å, 144.89 144.89 50.50°
Element x y z (fractional)
In  0.0000  0.0000  0.0000
Ga  0.2500  0.7500  0.5000
Ga  0.7500  0.2500  0.5000
N  0.2928  0.2928  0.0000
N  0.7072  0.7072  0.0000

Entry from Alexandria via LeMat-Bulk: a relaxed InGa2N3 crystal (PBEsol).

Calculated values
DFT total energy: -37.8 eV per formula unit
formation energy without anion corrections: -424 meV/atom

Cell: 5.7159 5.7159 5.3335 Å, 90.00 90.00 59.95°
Element x y z (fractional)
In  0.1748  0.8252  0.5000
In  0.8252  0.1748  0.0000
Ga  0.1662  0.4929  0.9970
Ga  0.4929  0.1662  0.4970
Ga  0.5071  0.8338  0.9970
Ga  0.8338  0.5071  0.4970
N  0.1663  0.4732  0.6308
N  0.1925  0.8075  0.0944
N  0.4732  0.1663  0.1308
N  0.5268  0.8337  0.6308
N  0.8075  0.1925  0.5944
N  0.8337  0.5268  0.1308

Entry from Alexandria via LeMat-Bulk: a relaxed InGaS2N crystal (PBEsol).

Calculated values
DFT total energy: -19.6 eV per formula unit
formation energy without anion corrections: 798 meV/atom

Cell: 5.0716 5.0716 4.1734 Å, 90.00 90.00 90.00°
Element x y z (fractional)
In  0.0000  0.0000  0.0000
Ga  0.5000  0.5000  0.5000
S  0.0000  0.5000  0.0000
S  0.5000  0.0000  0.0000
N  0.0000  0.0000  0.5000

Entry from Alexandria via LeMat-Bulk: a relaxed InGaSeN2 crystal (PBEsol).

Calculated values
DFT total energy: -20.9 eV per formula unit
formation energy without anion corrections: 1275 meV/atom

Cell: 4.1825 4.1825 5.6399 Å, 90.00 90.00 90.00°
Element x y z (fractional)
In  0.0000  0.0000  0.0000
Ga  0.5000  0.5000  0.5000
Se  0.0000  0.0000  0.5000
N  0.0000  0.5000  0.0000
N  0.5000  0.0000  0.0000

Entry from Alexandria via LeMat-Bulk: a relaxed Na2In2Ga crystal (PBEsol).

Calculated values
DFT total energy: -12.4 eV per formula unit
energy relative to the elements: -51 meV/atom

Cell: 7.1084 7.1084 5.1294 Å, 90.00 90.00 90.00°
Element x y z (fractional)
Na  0.1698  0.3302  0.0000
Na  0.3302  0.8302  0.0000
Na  0.6698  0.1698  0.0000
Na  0.8302  0.6698  0.0000
In  0.1419  0.6419  0.5000
In  0.3581  0.1419  0.5000
In  0.6419  0.8581  0.5000
In  0.8581  0.3581  0.5000
Ga  0.0000  0.0000  0.5000
Ga  0.5000  0.5000  0.5000

Entry from Alexandria via LeMat-Bulk: a relaxed InGa3Ni crystal (PBEsol).

Calculated values
DFT total energy: -19.5 eV per formula unit
energy relative to the elements: -63 meV/atom

Cell: 4.5770 4.5770 4.5770 Å, 90.00 90.00 90.00°
Element x y z (fractional)
In  0.0000  0.0000  0.0000
Ga  0.0000  0.5000  0.5000
Ga  0.5000  0.0000  0.5000
Ga  0.5000  0.5000  0.0000
Ni  0.5000  0.5000  0.5000

Entry from Alexandria via LeMat-Bulk: a relaxed InGaSnO5 crystal (PBEsol).

Calculated values
DFT total energy: -50.6 eV per formula unit
formation energy without anion corrections: -1721 meV/atom

Cell: 10.9376 3.2265 11.8438 Å, 90.00 99.14 90.00°
Element x y z (fractional)
In  0.1180  0.0000  0.1701
In  0.1971  0.5000  0.4234
In  0.8029  0.5000  0.5766
In  0.8820  0.0000  0.8299
Ga  0.0987  0.0000  0.6516
Ga  0.4140  0.5000  0.2354
Ga  0.5860  0.5000  0.7646
Ga  0.9013  0.0000  0.3484
Sn  0.1906  0.5000  0.9074
Sn  0.5000  0.0000  0.0000
Sn  0.5000  0.0000  0.5000
Sn  0.8094  0.5000  0.0926
O  0.0044  0.5000  0.8639
O  0.0733  0.0000  0.3499
O  0.1276  0.5000  0.5836
O  0.1924  0.0000  0.0162
O  0.1995  0.0000  0.7937
O  0.2454  0.5000  0.2433
O  0.3145  0.0000  0.4739
O  0.3847  0.5000  0.9511
O  0.4517  0.0000  0.1665
O  0.4968  0.5000  0.3842
O  0.5032  0.5000  0.6158
O  0.5483  0.0000  0.8335
O  0.6153  0.5000  0.0489
O  0.6855  0.0000  0.5261
O  0.7546  0.5000  0.7567
O  0.8005  0.0000  0.2063
O  0.8076  0.0000  0.9838
O  0.8724  0.5000  0.4164
O  0.9267  0.0000  0.6501
O  0.9956  0.5000  0.1361

Entry from Alexandria via LeMat-Bulk: a relaxed Zn4InGaO7 crystal (PBEsol).

Calculated values
DFT total energy: -69.7 eV per formula unit
formation energy without anion corrections: -1563 meV/atom

Cell: 3.2830 3.2830 32.8968 Å, 90.00 90.00 120.00°
Element x y z (fractional)
Zn  0.0000  0.0000  0.1713
Zn  0.0000  0.0000  0.3287
Zn  0.0000  0.0000  0.6713
Zn  0.0000  0.0000  0.8287
Zn  0.3333  0.6667  0.0927
Zn  0.3333  0.6667  0.4073
Zn  0.6667  0.3333  0.5927
Zn  0.6667  0.3333  0.9073
In  0.0000  0.0000  0.0000
In  0.0000  0.0000  0.5000
Ga  0.3333  0.6667  0.2500
Ga  0.6667  0.3333  0.7500
O  0.0000  0.0000  0.1114
O  0.0000  0.0000  0.2500
O  0.0000  0.0000  0.3886
O  0.0000  0.0000  0.6114
O  0.0000  0.0000  0.7500
O  0.0000  0.0000  0.8886
O  0.3333  0.6667  0.0331
O  0.3333  0.6667  0.1899
O  0.3333  0.6667  0.3101
O  0.3333  0.6667  0.4669
O  0.6667  0.3333  0.5331
O  0.6667  0.3333  0.6899
O  0.6667  0.3333  0.8101
O  0.6667  0.3333  0.9669

Entry from Alexandria via LeMat-Bulk: a relaxed Zn2InGaO5 crystal (PBEsol).

Calculated values
DFT total energy: -50.3 eV per formula unit
formation energy without anion corrections: -1624 meV/atom

Cell: 3.3010 3.3010 22.4461 Å, 90.00 90.00 120.00°
Element x y z (fractional)
Zn  0.3333  0.6667  0.1354
Zn  0.3333  0.6667  0.3646
Zn  0.6667  0.3333  0.6354
Zn  0.6667  0.3333  0.8646
In  0.0000  0.0000  0.0000
In  0.0000  0.0000  0.5000
Ga  0.0000  0.0000  0.2500
Ga  0.0000  0.0000  0.7500
O  0.0000  0.0000  0.1621
O  0.0000  0.0000  0.3379
O  0.0000  0.0000  0.6621
O  0.0000  0.0000  0.8379
O  0.3333  0.6667  0.0482
O  0.3333  0.6667  0.2500
O  0.3333  0.6667  0.4518
O  0.6667  0.3333  0.5482
O  0.6667  0.3333  0.7500
O  0.6667  0.3333  0.9518

Entry from Alexandria via LeMat-Bulk: a relaxed InGa3Pb crystal (PBEsol).

Calculated values
DFT total energy: -13.6 eV per formula unit
energy relative to the elements: 675 meV/atom

Cell: 5.3578 5.3578 5.3578 Å, 90.00 90.00 90.00°
Element x y z (fractional)
In  0.0000  0.0000  0.0000
Ga  0.0000  0.5000  0.5000
Ga  0.5000  0.0000  0.5000
Ga  0.5000  0.5000  0.0000
Pb  0.5000  0.5000  0.5000

Entry from Alexandria via LeMat-Bulk: a relaxed InGa2Pb2 crystal (PBEsol).

Calculated values
DFT total energy: -17.3 eV per formula unit
energy relative to the elements: 79 meV/atom

Cell: 9.2962 9.2962 9.2962 Å, 156.68 156.68 33.22°
Element x y z (fractional)
In  0.0000  0.0000  0.0000
Ga  0.2500  0.7500  0.5000
Ga  0.7500  0.2500  0.5000
Pb  0.3881  0.3881  0.0000
Pb  0.6119  0.6119  0.0000

Entry from Alexandria via LeMat-Bulk: a relaxed In2GaPb crystal (PBEsol).

Calculated values
DFT total energy: -13.0 eV per formula unit
energy relative to the elements: 65 meV/atom

Cell: 5.2305 5.2305 5.2305 Å, 60.00 60.00 60.00°
Element x y z (fractional)
In  0.2500  0.2500  0.2500
In  0.7500  0.7500  0.7500
Ga  0.0000  0.0000  0.0000
Pb  0.5000  0.5000  0.5000

Entry from Alexandria via LeMat-Bulk: a relaxed InGaPb3 crystal (PBEsol).

Calculated values
DFT total energy: -16.4 eV per formula unit
energy relative to the elements: 382 meV/atom

Cell: 5.4237 5.4237 5.4237 Å, 90.00 90.00 90.00°
Element x y z (fractional)
In  0.0000  0.0000  0.0000
Ga  0.5000  0.5000  0.5000
Pb  0.0000  0.5000  0.5000
Pb  0.5000  0.0000  0.5000
Pb  0.5000  0.5000  0.0000

Entry from Alexandria via LeMat-Bulk: a relaxed InGa2Pd2 crystal (PBEsol).

Calculated values
DFT total energy: -23.8 eV per formula unit
energy relative to the elements: -445 meV/atom

Cell: 6.8813 6.8813 6.8813 Å, 149.52 149.52 43.65°
Element x y z (fractional)
In  0.0000  0.0000  0.0000
Ga  0.2500  0.7500  0.5000
Ga  0.7500  0.2500  0.5000
Pd  0.3922  0.3922  0.0000
Pd  0.6078  0.6078  0.0000

Entry from Alexandria via LeMat-Bulk: a relaxed InGa2Pt2 crystal (PBEsol).

Calculated values
DFT total energy: -26.1 eV per formula unit
energy relative to the elements: -498 meV/atom

Cell: 6.7387 6.7387 6.7387 Å, 148.10 148.10 45.74°
Element x y z (fractional)
In  0.0000  0.0000  0.0000
Ga  0.2500  0.7500  0.5000
Ga  0.7500  0.2500  0.5000
Pt  0.3900  0.3900  0.0000
Pt  0.6100  0.6100  0.0000

Entry from Alexandria via LeMat-Bulk: a relaxed InGaPt3 crystal (PBEsol).

Calculated values
DFT total energy: -21.4 eV per formula unit
energy relative to the elements: 1161 meV/atom

Cell: 4.8931 4.8931 4.8931 Å, 90.00 90.00 90.00°
Element x y z (fractional)
In  0.0000  0.0000  0.0000
Ga  0.5000  0.5000  0.5000
Pt  0.0000  0.0000  0.5000
Pt  0.0000  0.5000  0.0000
Pt  0.5000  0.0000  0.0000

Entry from Alexandria via LeMat-Bulk: a relaxed RbIn3Ga crystal (PBEsol).

Calculated values
DFT total energy: -7.5 eV per formula unit
energy relative to the elements: 1160 meV/atom

Cell: 6.0667 6.0667 6.0667 Å, 90.00 90.00 90.00°
Element x y z (fractional)
Rb  0.0000  0.0000  0.0000
In  0.0000  0.0000  0.5000
In  0.0000  0.5000  0.0000
In  0.5000  0.0000  0.0000
Ga  0.5000  0.5000  0.5000

no.,total moment (μB per atom)
1,0.00
2,0.00
3,0.00
4,0.00
5,0.00
6,0.00
7,1.45
8,0.00
9,0.00
10,0.00
11,0.50
12,0.65
13,0.00
14,0.00
15,0.00
16,0.00
17,0.00
18,0.00
19,0.00
20,0.00
21,0.00
22,0.00
23,0.00
24,0.00
25,0.00